1.
# PBE CdP2Ir2, relaxed
# - N(E_F): 6.1 states/eV/cell
# - ΔH_f (0 K): -0.1248 eV per atom
# - Density: 11.0 g cm⁻³
# - Total moment: 0.00 Bohr magnetons per cell
data_CdP2Ir2
_space_group_name_H-M_alt 'I 4/m m m'
_space_group_IT_number 139
_space_group_name_Hall '-I 4 2'
_cell_length_a 3.894
_cell_length_b 3.894
_cell_length_c 11.157
_cell_angle_alpha 90.00
_cell_angle_beta 90.00
_cell_angle_gamma 90.00
loop_
_atom_site_label
_atom_site_fract_x
_atom_site_fract_y
_atom_site_fract_z
Cd1 0.000 0.000 0.000
P1 0.000 0.500 0.250
Ir1 0.000 0.000 0.366

2.
# PBE Cd2PIr, relaxed
# - N(E_F): 5.9 states/eV/cell
# - ΔH_f (0 K): 0.3870 eV per atom
# - Density: 10.4 g cm⁻³
# - Total moment: 0.56 Bohr magnetons per cell
data_Cd2PIr
_space_group_name_H-M_alt 'R -3 m'
_space_group_IT_number 166
_space_group_name_Hall '-R 3 2"'
_cell_length_a 3.0039
_cell_length_b 3.0039
_cell_length_c 27.5558
_cell_angle_alpha 90.00
_cell_angle_beta 90.00
_cell_angle_gamma 120.00
loop_
_atom_site_label
_atom_site_fract_x
_atom_site_fract_y
_atom_site_fract_z
Cd1 0.0000 0.0000 0.2476
P1 0.0000 0.0000 0.0000
Ir1 0.0000 0.0000 0.5000

3.
# PBE CdPIr2, relaxed
# - N(E_F): 3.4 states/eV/cell
# - ΔH_f (0 K): 0.3346 eV per atom
# - Density: 14.2 g cm⁻³
# - Total moment: 0.00 Bohr magnetons per cell
data_CdPIr2
_space_group_name_H-M_alt 'I 4/m m m'
_space_group_IT_number 139
_space_group_name_Hall '-I 4 2'
_cell_length_a 4.170
_cell_length_b 4.170
_cell_length_c 7.080
_cell_angle_alpha 90.00
_cell_angle_beta 90.00
_cell_angle_gamma 90.00
loop_
_atom_site_label
_atom_site_fract_x
_atom_site_fract_y
_atom_site_fract_z
Cd1 0.000 0.000 0.000
P1 0.000 0.000 0.500
Ir1 0.000 0.500 0.250

4.
# PBE Cd2PIr, relaxed
# - N(E_F): 2.1 states/eV/cell
# - ΔH_f (0 K): 0.2638 eV per atom
# - Density: 10.0 g cm⁻³
# - Total moment: 0.00 Bohr magnetons per cell
data_Cd2PIr
_space_group_name_H-M_alt 'P 1 2/m 1'
_space_group_IT_number 10
_space_group_name_Hall '-P 2y'
_cell_length_a 3.096
_cell_length_b 5.202
_cell_length_c 4.641
_cell_angle_alpha 90.00
_cell_angle_beta 90.67
_cell_angle_gamma 90.00
loop_
_atom_site_label
_atom_site_fract_x
_atom_site_fract_y
_atom_site_fract_z
Cd1 0.247 0.000 0.252
P1 0.500 0.500 0.000
Ir1 0.500 0.500 0.500

5.
# PBE Cd2PIr, relaxed
# - N(E_F): 11.6 states/eV/cell
# - ΔH_f (0 K): 0.3276 eV per atom
# - Density: 8.2 g cm⁻³
# - Total moment: 0.00 Bohr magnetons per cell
data_Cd2PIr
_space_group_name_H-M_alt 'I -4 2 d'
_space_group_IT_number 122
_space_group_name_Hall 'I -4 2bw'
_cell_length_a 9.058
_cell_length_b 9.058
_cell_length_c 4.405
_cell_angle_alpha 90.00
_cell_angle_beta 90.00
_cell_angle_gamma 90.00
loop_
_atom_site_label
_atom_site_fract_x
_atom_site_fract_y
_atom_site_fract_z
Cd1 0.140 0.250 0.125
P1 0.000 0.000 0.000
Ir1 0.000 0.000 0.500

6.
# PBE CdPIr2, relaxed
# - N(E_F): 2.1 states/eV/cell
# - ΔH_f (0 K): 0.1250 eV per atom
# - Density: 13.2 g cm⁻³
# - Total moment: 0.00 Bohr magnetons per cell
data_CdPIr2
_space_group_name_H-M_alt 'P 4 m m'
_space_group_IT_number 99
_space_group_name_Hall 'P 4 -2'
_cell_length_a 3.221
_cell_length_b 3.221
_cell_length_c 6.392
_cell_angle_alpha 90.00
_cell_angle_beta 90.00
_cell_angle_gamma 90.00
loop_
_atom_site_label
_atom_site_fract_x
_atom_site_fract_y
_atom_site_fract_z
Cd1 0.000 0.000 0.000
P1 0.500 0.500 0.652
Ir1 0.000 0.000 0.538
Ir2 0.500 0.500 0.274

7.
# PBE Cd2PIr, relaxed
# - N(E_F): 2.2 states/eV/cell
# - ΔH_f (0 K): 0.4179 eV per atom
# - Density: 10.4 g cm⁻³
# - Total moment: 0.00 Bohr magnetons per cell
data_Cd2PIr
_space_group_name_H-M_alt 'P 4/m m m'
_space_group_IT_number 123
_space_group_name_Hall '-P 4 2'
_cell_length_a 4.813
_cell_length_b 4.813
_cell_length_c 3.100
_cell_angle_alpha 90.00
_cell_angle_beta 90.00
_cell_angle_gamma 90.00
loop_
_atom_site_label
_atom_site_fract_x
_atom_site_fract_y
_atom_site_fract_z
Cd1 0.000 0.500 0.000
P1 0.000 0.000 0.500
Ir1 0.500 0.500 0.500

8.
# PBE Cd2PIr, relaxed
# - N(E_F): 4.5 states/eV/cell
# - ΔH_f (0 K): -0.0169 eV per atom
# - Density: 9.4 g cm⁻³
# - Total moment: 0.00 Bohr magnetons per cell
data_Cd2PIr
_space_group_name_H-M_alt 'I m m 2'
_space_group_IT_number 44
_space_group_name_Hall 'I 2 -2'
_cell_length_a 2.993
_cell_length_b 4.668
_cell_length_c 11.317
_cell_angle_alpha 90.00
_cell_angle_beta 90.00
_cell_angle_gamma 90.00
loop_
_atom_site_label
_atom_site_fract_x
_atom_site_fract_y
_atom_site_fract_z
Cd1 0.000 0.000 0.000
Cd2 0.000 0.500 0.182
P1 0.000 0.000 0.382
Ir1 0.000 0.500 0.727

9.
# PBE CdPIr2, relaxed
# - N(E_F): 5.1 states/eV/cell
# - ΔH_f (0 K): 0.1433 eV per atom
# - Density: 13.6 g cm⁻³
# - Total moment: 0.00 Bohr magnetons per cell
data_CdPIr2
_space_group_name_H-M_alt 'I m m m'
_space_group_IT_number 71
_space_group_name_Hall '-I 2 2'
_cell_length_a 2.952
_cell_length_b 5.055
_cell_length_c 8.607
_cell_angle_alpha 90.00
_cell_angle_beta 90.00
_cell_angle_gamma 90.00
loop_
_atom_site_label
_atom_site_fract_x
_atom_site_fract_y
_atom_site_fract_z
Cd1 0.000 0.000 0.000
P1 0.000 0.000 0.500
Ir1 0.000 0.500 0.206

10.
# PBE CdPIr2, relaxed
# - N(E_F): 5.4 states/eV/cell
# - ΔH_f (0 K): 0.3612 eV per atom
# - Density: 14.2 g cm⁻³
# - Total moment: 0.00 Bohr magnetons per cell
data_CdPIr2
_space_group_name_H-M_alt 'C m m m'
_space_group_IT_number 65
_space_group_name_Hall '-C 2 2'
_cell_length_a 6.040
_cell_length_b 6.659
_cell_length_c 3.066
_cell_angle_alpha 90.00
_cell_angle_beta 90.00
_cell_angle_gamma 90.00
loop_
_atom_site_label
_atom_site_fract_x
_atom_site_fract_y
_atom_site_fract_z
Cd1 0.000 0.000 0.000
P1 0.000 0.500 0.000
Ir1 0.250 0.250 0.500

11.
# PBE CdPIr2, relaxed
# - N(E_F): 6.7 states/eV/cell
# - ΔH_f (0 K): 0.2831 eV per atom
# - Density: 12.3 g cm⁻³
# - Total moment: 0.00 Bohr magnetons per cell
data_CdPIr2
_space_group_name_H-M_alt 'C m m 2'
_space_group_IT_number 35
_space_group_name_Hall 'C 2 -2'
_cell_length_a 2.777
_cell_length_b 4.823
_cell_length_c 10.664
_cell_angle_alpha 90.00
_cell_angle_beta 90.00
_cell_angle_gamma 90.00
loop_
_atom_site_label
_atom_site_fract_x
_atom_site_fract_y
_atom_site_fract_z
Cd1 0.000 0.000 0.000
P1 0.000 0.500 0.645
Ir1 0.000 0.000 0.463
Ir2 0.000 0.500 0.241

12.
# PBE Cd2PIr, relaxed
# - N(E_F): 4.4 states/eV/cell
# - ΔH_f (0 K): 0.3032 eV per atom
# - Density: 10.6 g cm⁻³
# - Total moment: 0.00 Bohr magnetons per cell
data_Cd2PIr
_space_group_name_H-M_alt 'C m m m'
_space_group_IT_number 65
_space_group_name_Hall '-C 2 2'
_cell_length_a 5.492
_cell_length_b 8.306
_cell_length_c 3.068
_cell_angle_alpha 90.00
_cell_angle_beta 90.00
_cell_angle_gamma 90.00
loop_
_atom_site_label
_atom_site_fract_x
_atom_site_fract_y
_atom_site_fract_z
Cd1 0.250 0.250 0.000
P1 0.000 0.000 0.500
Ir1 0.000 0.500 0.500

13.
# PBE CdPIr, relaxed
# - N(E_F): 1.3 states/eV/cell
# - ΔH_f (0 K): -0.1878 eV per atom
# - Density: 9.8 g cm⁻³
# - Total moment: 0.00 Bohr magnetons per cell
data_CdPIr
_space_group_name_H-M_alt 'P 1 21/m 1'
_space_group_IT_number 11
_space_group_name_Hall '-P 2yb'
_cell_length_a 5.690
_cell_length_b 3.504
_cell_length_c 6.012
_cell_angle_alpha 90.00
_cell_angle_beta 107.52
_cell_angle_gamma 90.00
loop_
_atom_site_label
_atom_site_fract_x
_atom_site_fract_y
_atom_site_fract_z
Cd1 0.214 0.250 0.385
P1 0.356 0.250 0.836
Ir1 0.214 0.750 0.005

14.
# PBE Cd2TcPIr, relaxed
# - N(E_F): 4.2 states/eV/cell
# - ΔH_f (0 K): 0.8943 eV per atom
# - Density: 7.7 g cm⁻³
# - Total moment: 3.59 Bohr magnetons per cell
data_Cd2TcPIr
_space_group_name_H-M_alt 'P 4/m m m'
_space_group_IT_number 123
_space_group_name_Hall '-P 4 2'
_cell_length_a 5.231
_cell_length_b 5.231
_cell_length_c 4.319
_cell_angle_alpha 90.00
_cell_angle_beta 90.00
_cell_angle_gamma 90.00
loop_
_atom_site_label
_atom_site_fract_x
_atom_site_fract_y
_atom_site_fract_z
Cd1 0.000 0.500 0.000
Tc1 0.000 0.000 0.500
P1 0.500 0.500 0.500
Ir1 0.500 0.500 0.000

15.
# PBE TlCdPIr2, relaxed
# - N(E_F): 7.5 states/eV/cell
# - ΔH_f (0 K): 2.0513 eV per atom
# - Density: 9.5 g cm⁻³
# - Total moment: 0.00 Bohr magnetons per cell
data_TlCdPIr2
_space_group_name_H-M_alt 'P 4/m m m'
_space_group_IT_number 123
_space_group_name_Hall '-P 4 2'
_cell_length_a 4.986
_cell_length_b 4.986
_cell_length_c 5.144
_cell_angle_alpha 90.00
_cell_angle_beta 90.00
_cell_angle_gamma 90.00
loop_
_atom_site_label
_atom_site_fract_x
_atom_site_fract_y
_atom_site_fract_z
Tl1 0.000 0.000 0.000
Cd1 0.000 0.000 0.500
P1 0.500 0.500 0.000
Ir1 0.000 0.500 0.500

16.
# PBE ZnCdPIr2, relaxed
# - N(E_F): 4.5 states/eV/cell
# - ΔH_f (0 K): 1.3334 eV per atom
# - Density: 10.0 g cm⁻³
# - Total moment: 0.00 Bohr magnetons per cell
data_ZnCdPIr2
_space_group_name_H-M_alt 'P 4/m m m'
_space_group_IT_number 123
_space_group_name_Hall '-P 4 2'
_cell_length_a 4.608
_cell_length_b 4.608
_cell_length_c 4.652
_cell_angle_alpha 90.00
_cell_angle_beta 90.00
_cell_angle_gamma 90.00
loop_
_atom_site_label
_atom_site_fract_x
_atom_site_fract_y
_atom_site_fract_z
Zn1 0.000 0.000 0.000
Cd1 0.000 0.000 0.500
P1 0.500 0.500 0.500
Ir1 0.000 0.500 0.000

17.
# PBE Pa2CdIr, relaxed
# - N(E_F): 6.2 states/eV/cell
# - ΔH_f (0 K): -0.2361 eV per atom
# - Density: 13.7 g cm⁻³
# - Total moment: 0.00 Bohr magnetons per cell
data_Pa2CdIr
_space_group_name_H-M_alt 'P 4/m m m'
_space_group_IT_number 123
_space_group_name_Hall '-P 4 2'
_cell_length_a 3.661
_cell_length_b 3.661
_cell_length_c 6.959
_cell_angle_alpha 90.00
_cell_angle_beta 90.00
_cell_angle_gamma 90.00
loop_
_atom_site_label
_atom_site_fract_x
_atom_site_fract_y
_atom_site_fract_z
Pa1 0.000 0.000 0.202
Cd1 0.500 0.500 0.500
Ir1 0.500 0.500 0.000

18.
# PBE Pa2CdIr, relaxed
# - N(E_F): 15.2 states/eV/cell
# - ΔH_f (0 K): 0.1137 eV per atom
# - Density: 11.7 g cm⁻³
# - Total moment: 0.00 Bohr magnetons per cell
data_Pa2CdIr
_space_group_name_H-M_alt 'R -3 m'
_space_group_IT_number 166
_space_group_name_Hall '-R 3 2"'
_cell_length_a 3.4568
_cell_length_b 3.4568
_cell_length_c 31.6567
_cell_angle_alpha 90.00
_cell_angle_beta 90.00
_cell_angle_gamma 120.00
loop_
_atom_site_label
_atom_site_fract_x
_atom_site_fract_y
_atom_site_fract_z
Pa1 0.0000 0.0000 0.1055
Cd1 0.0000 0.0000 0.0000
Ir1 0.0000 0.0000 0.5000

19.
# PBE PaCdIr, relaxed
# - N(E_F): 11.6 states/eV/cell
# - ΔH_f (0 K): -0.3559 eV per atom
# - Density: 12.6 g cm⁻³
# - Total moment: 0.00 Bohr magnetons per cell
data_PaCdIr
_space_group_name_H-M_alt 'C 1 2/m 1'
_space_group_IT_number 12
_space_group_name_Hall '-C 2y'
_cell_length_a 9.374
_cell_length_b 3.955
_cell_length_c 7.800
_cell_angle_alpha 90.00
_cell_angle_beta 101.48
_cell_angle_gamma 90.00
loop_
_atom_site_label
_atom_site_fract_x
_atom_site_fract_y
_atom_site_fract_z
Pa1 0.121 0.000 0.333
Cd1 0.133 0.500 0.946
Ir1 0.181 0.000 0.696

20.
# PBE PaCdIrPd, relaxed
# - N(E_F): 15.1 states/eV/cell
# - ΔH_f (0 K): -0.4712 eV per atom
# - Density: 13.6 g cm⁻³
# - Total moment: 0.00 Bohr magnetons per cell
data_PaCdIrPd
_space_group_name_H-M_alt 'F -4 3 m'
_space_group_IT_number 216
_space_group_name_Hall 'F -4 2 3'
_cell_length_a 6.791
_cell_length_b 6.791
_cell_length_c 6.791
_cell_angle_alpha 90.00
_cell_angle_beta 90.00
_cell_angle_gamma 90.00
loop_
_atom_site_label
_atom_site_fract_x
_atom_site_fract_y
_atom_site_fract_z
Pa1 0.000 0.000 0.000
Cd1 0.000 0.000 0.500
Ir1 0.250 0.250 0.750
Pd1 0.250 0.250 0.250